Mn2TcPt: optimized geometry, PBE-GGA.

Cell and atoms, written as extended XYZ:
```
4
Lattice="2.6799 0.0000 0.0000 0.0000 2.6799 0.0000 0.0000 0.0000 7.4970" Properties=species:S:1:pos:R:3 pbc="T T T"
Mn 0.0000 0.0000 0.0000
Mn 1.3400 1.3400 1.6808
Tc 1.3400 1.3400 5.7188
Pt 0.0000 0.0000 3.6434
```

## Properties
The calculation puts the calculated formation energy at -0.068 eV per atom. The space group is P4mm. The total magnetization comes out at 1.5 μB/f.u. As for the distance to the lowest polymorph of the same formula: 56.0 meV per atom.

***

MnTcPt: optimized geometry, PBE-GGA.

Cell and atoms, written as extended XYZ:
```
3
Lattice="-1.3536 1.8915 4.1443 1.3536 -1.8915 4.1443 1.3536 1.8915 -4.1443" Properties=species:S:1:pos:R:3 pbc="T T T"
Mn 0.0000 0.0000 0.0000
Tc 0.0000 0.0000 2.9029
Pt 0.0000 0.0000 5.5760
```

## Properties
The calculation puts the calculated formation energy at -0.093 eV per atom. The space group is Imm2. The total magnetization comes out at 1.9 μB/f.u. As for the distance to the lowest polymorph of the same formula: 0.0 meV per atom.

***

Mn2TcPt: optimized geometry, PBE-GGA.

Cell and atoms, written as extended XYZ:
```
4
Lattice="2.6734 0.0000 0.0000 0.0000 4.2654 0.0000 -0.4909 0.0000 5.0178" Properties=species:S:1:pos:R:3 pbc="T T T"
Mn 0.4996 0.0000 1.3192
Mn 1.6829 0.0000 3.6986
Tc -0.2454 2.1327 2.5089
Pt 1.3367 2.1327 0.0000
```

## Properties
The calculation puts the calculated formation energy at 0.047 eV per atom. The space group is P2/m. The total magnetization comes out at 6.2 μB/f.u. As for the distance to the lowest polymorph of the same formula: 171.2 meV per atom.